Entry from Alexandria: a geometry-optimized Er6SiSe5 structure (PBE-GGA).

```
Er6SiSe5
1.0
3.509 -6.082 0.000
3.509 6.082 0.000
-2.338 0.000 6.638
Er Si Se
6 1 5
direct
0.080 0.398 0.740
0.239 0.239 0.260
0.398 0.080 0.740
0.602 0.920 0.260
0.761 0.761 0.740
0.920 0.602 0.260
0.000 0.000 0.500
0.170 0.830 0.000
0.334 0.666 0.500
0.500 0.500 0.000
0.666 0.334 0.500
0.830 0.170 0.000
```

Crystal system: monoclinic
Final energy, eV for the cell shown: -69.63
Total moment, μB/cell: 0.01
Space-group type: C2/m, No. 12

Entry from Alexandria: a geometry-optimized Er5Si2Se2 structure (PBE-GGA).

```
Er5Si2Se2
1.0
7.221 -3.742 0.000
7.221 3.742 0.000
0.000 0.000 7.554
Er Si Se
10 4 4
direct
0.000 0.000 0.000
0.035 0.700 0.665
0.200 0.535 0.165
0.300 0.965 0.665
0.465 0.800 0.165
0.500 0.500 0.500
0.535 0.200 0.835
0.700 0.035 0.335
0.800 0.465 0.835
0.965 0.300 0.335
0.129 0.871 0.372
0.371 0.629 0.872
0.629 0.371 0.128
0.871 0.129 0.628
0.202 0.202 0.000
0.298 0.298 0.500
0.702 0.702 0.500
0.798 0.798 0.000
```

Crystal system: orthorhombic
Final energy, eV for the cell shown: -101.57
Total moment, μB/cell: 0.00
Space-group type: Cmce, No. 64